First-principles (PBEsol) data for a geometry-optimized ScTcH3 structure, as listed in Alexandria.

Lattice parameters (Å, degrees): 3.496 3.496 3.496 90.00 90.00 90.00
Positions (direct):
Sc: 0.000 0.000 0.000
Tc: 0.500 0.500 0.500
H: 0.000 0.500 0.500
H: 0.500 0.000 0.500
H: 0.500 0.500 0.000

Summary:
M_tot = 0.19 μB per formula unit
Space-group type = No. 221
Fermi-level density of states = 0.633 states/eV per atom

***

First-principles (PBEsol) data for a geometry-optimized ScTi2H structure, as listed in Alexandria.

Lattice parameters (Å, degrees): 4.412 4.412 4.412 60.00 60.00 60.00
Positions (direct):
Sc: 0.000 0.000 0.000
Ti: 0.250 0.250 0.250
Ti: 0.750 0.750 0.750
H: 0.500 0.500 0.500

Summary:
M_tot = 0.00 μB per formula unit
Space-group type = No. 225
Fermi-level density of states = 1.771 states/eV per atom

***

Number 1: electronic total energy -29.46 eV per cell. Number 2: electronic total energy -22.77 eV per cell.